Density functional theory data (PBE) for crystalline Sc2MnGe3 at its relaxed geometry.

Cell and atoms, written as extended XYZ:
```
6
Lattice="-2.1516 2.7443 4.8333 2.1516 -2.7443 4.8333 2.1516 2.7443 -4.8333" Properties=species:S:1:pos:R:3 pbc="T T T"
Sc 0.0000 0.0000 1.7352
Sc 0.0000 0.0000 7.9314
Mn 0.0000 0.0000 4.8333
Ge 2.1516 0.0000 0.0000
Ge 2.1516 0.0000 3.4813
Ge 0.0000 2.7443 1.3520
```

## Properties
E	-6.3113	eV/atom



Density functional theory data (PBE) for crystalline AcMg3Sn2 at its relaxed geometry.

Cell and atoms, written as extended XYZ:
```
12
Lattice="8.9959 -2.3501 0.0000 8.9959 2.3501 0.0000 -4.0115 0.0000 7.7753" Properties=species:S:1:pos:R:3 pbc="T T T"
Ac 2.3215 0.0000 0.4361
Ac 11.6589 0.0000 7.3392
Mg -0.6892 0.0000 3.0569
Mg 3.4090 0.0000 4.1695
Mg 5.9870 0.0000 2.5097
Mg 7.9934 0.0000 5.2656
Mg 10.5714 0.0000 3.6058
Mg 14.6695 0.0000 4.7184
Sn 0.8244 0.0000 5.6216
Sn 5.3480 0.0000 6.3609
Sn 8.6323 0.0000 1.4144
Sn 13.1560 0.0000 2.1537
```

## Properties
E	-3.1792	eV/atom



Density functional theory data (PBE) for crystalline Tc2C at its relaxed geometry.

Cell and atoms, written as extended XYZ:
```
6
Lattice="1.4026 -4.8028 0.0000 1.4026 4.8028 0.0000 0.0000 0.0000 5.0524" Properties=species:S:1:pos:R:3 pbc="T T T"
Tc 1.4026 4.4918 2.5262
Tc 1.4026 2.0395 1.6284
Tc 1.4026 -2.0395 4.1546
Tc 1.4026 -4.4918 0.0000
C 1.4026 1.1025 3.6055
C 1.4026 -1.1025 1.0793
```

## Properties
E	-9.8095	eV/atom
energy above the most stable polymorph in this dataset	9.8	kJ per mole of atoms



Density functional theory data (PBE) for crystalline NpCo2B at its relaxed geometry.

Cell and atoms, written as extended XYZ:
```
4
Lattice="1.4083 0.8131 7.2499 -1.4083 0.8131 7.2499 0.0000 -1.6261 7.2499" Properties=species:S:1:pos:R:3 pbc="T T T"
Np 0.0000 0.0000 0.0000
Co 0.0000 0.0000 4.7391
Co 0.0000 0.0000 17.0107
B 0.0000 0.0000 10.8749
```

## Properties
E	-8.3320	eV/atom



Density functional theory data (PBE) for crystalline NaTc3N at its relaxed geometry.

Cell and atoms, written as extended XYZ:
```
5
Lattice="4.5362 0.0000 0.0000 0.0000 4.5362 0.0000 0.0000 0.0000 4.5362" Properties=species:S:1:pos:R:3 pbc="T T T"
Na 0.0000 0.0000 0.0000
Tc 0.0000 0.0000 2.2681
Tc 0.0000 2.2681 0.0000
Tc 2.2681 0.0000 0.0000
N 2.2681 2.2681 2.2681
```

## Properties
E	-4.4351	eV/atom
formation energy (no corrections)	3.713	eV/atom
energy above the most stable polymorph in this dataset	312.3	kJ per mole of atoms



Density functional theory data (PBE) for crystalline TaAg3B at its relaxed geometry.

Cell and atoms, written as extended XYZ:
```
5
Lattice="4.3328 0.0000 0.0000 0.0000 4.3328 0.0000 0.0000 0.0000 4.3328" Properties=species:S:1:pos:R:3 pbc="T T T"
Ta 0.0000 0.0000 0.0000
Ag 0.0000 2.1664 2.1664
Ag 2.1664 0.0000 2.1664
Ag 2.1664 2.1664 0.0000
B 2.1664 2.1664 2.1664
```

## Properties
E	-4.4969	eV/atom
energy above the most stable polymorph in this dataset	0.0	kJ per mole of atoms



Density functional theory data (PBE) for crystalline BaGeP6Pd2 at its relaxed geometry.

Cell and atoms, written as extended XYZ:
```
10
Lattice="2.8899 1.6685 8.6430 -2.8899 1.6685 8.6430 0.0000 -3.3370 8.6430" Properties=species:S:1:pos:R:3 pbc="T T T"
Ba 0.0000 0.0000 0.0000
Ge 0.0000 0.0000 12.9645
P -1.1258 -0.6500 10.5973
P 0.0000 -1.2999 15.3318
P -1.1258 0.6500 15.3318
P 1.1258 -0.6500 10.5973
P 0.0000 1.2999 10.5973
P 1.1258 0.6500 15.3317
Pd 0.0000 0.0000 8.1910
Pd 0.0000 0.0000 17.7380
```

## Properties
E	-5.0874	eV/atom



Density functional theory data (PBE) for crystalline Ge2N2O at its relaxed geometry.

Cell and atoms, written as extended XYZ:
```
5
Lattice="-1.5492 4.6659 2.4571 1.5492 -4.6659 2.4571 1.5492 4.6659 -2.4571" Properties=species:S:1:pos:R:3 pbc="T T T"
Ge 0.0000 1.6365 0.0000
Ge 0.0000 7.6952 0.0000
N 1.5492 1.9178 0.9626
N 0.0000 2.7480 3.4197
O 0.0000 0.0000 4.2167
```

## Properties
E	-6.6846	eV/atom
formation energy (no corrections)	-0.516	eV/atom



Density functional theory data (PBE) for crystalline KCrSiOs2 at its relaxed geometry.

Cell and atoms, written as extended XYZ:
```
5
Lattice="4.5872 0.0000 0.0000 0.0000 4.5872 0.0000 0.0000 0.0000 4.6212" Properties=species:S:1:pos:R:3 pbc="T T T"
K 0.0000 0.0000 0.0000
Cr 2.2936 2.2936 2.3106
Si 2.2936 2.2936 0.0000
Os 0.0000 2.2936 2.3106
Os 2.2936 0.0000 2.3106
```

## Properties
E	-6.3771	eV/atom
formation energy (no corrections)	1.344	eV/atom



Density functional theory data (PBE) for crystalline RuRh3F at its relaxed geometry.

Cell and atoms, written as extended XYZ:
```
5
Lattice="4.6829 0.0000 0.0000 0.0000 4.6829 0.0000 0.0000 0.0000 4.6829" Properties=species:S:1:pos:R:3 pbc="T T T"
Ru 0.0000 0.0000 0.0000
Rh 0.0000 0.0000 2.3415
Rh 0.0000 2.3415 0.0000
Rh 2.3415 0.0000 0.0000
F 2.3415 2.3415 2.3415
```

## Properties
E	-5.3410	eV/atom
formation energy (no corrections)	1.299	eV/atom
energy above the most stable polymorph in this dataset	37.8	kJ per mole of atoms



Density functional theory data (PBE) for crystalline Pm2HoTl at its relaxed geometry.

Cell and atoms, written as extended XYZ:
```
4
Lattice="3.6485 0.0000 0.0000 0.0000 3.6485 0.0000 0.0000 0.0000 9.4299" Properties=species:S:1:pos:R:3 pbc="T T T"
Pm 0.0000 0.0000 2.1817
Pm 0.0000 0.0000 7.2482
Ho 1.8242 1.8242 4.7150
Tl 1.8242 1.8242 0.0000
```

## Properties
E	-4.2600	eV/atom
energy above the most stable polymorph in this dataset	4.2	kJ per mole of atoms



Density functional theory data (PBE) for crystalline Cr at its relaxed geometry.

Cell and atoms, written as extended XYZ:
```
2
Lattice="-2.2579 2.2579 1.2116 2.2579 -2.2579 1.2116 2.2579 2.2579 -1.2116" Properties=species:S:1:pos:R:3 pbc="T T T"
Cr 2.2579 1.1289 0.3029
Cr 0.0000 1.1289 0.9087
```

## Properties
E	-8.9055	eV/atom
energy above the most stable polymorph in this dataset	69.3	kJ per mole of atoms



Density functional theory data (PBE) for crystalline LaCrTc at its relaxed geometry.

Cell and atoms, written as extended XYZ:
```
3
Lattice="0.0000 3.2306 3.2306 3.2306 0.0000 3.2306 3.2306 3.2306 0.0000" Properties=species:S:1:pos:R:3 pbc="T T T"
La 0.0000 0.0000 0.0000
Cr 3.2306 3.2306 3.2306
Tc 4.8459 4.8459 4.8459
```

## Properties
E	-7.6423	eV/atom
energy above the most stable polymorph in this dataset	35.6	kJ per mole of atoms



Density functional theory data (PBE) for crystalline CrPtAu at its relaxed geometry.

Cell and atoms, written as extended XYZ:
```
6
Lattice="1.9850 -5.9154 0.0000 1.9850 5.9154 0.0000 0.0000 0.0000 3.9061" Properties=species:S:1:pos:R:3 pbc="T T T"
Cr 1.9850 5.2000 2.9296
Cr 1.9850 -5.2000 0.9765
Pt 1.9850 0.8798 2.9296
Pt 1.9850 -0.8798 0.9765
Au 1.9850 2.9346 0.9765
Au 1.9850 -2.9346 2.9296
```

## Properties
E	-6.2814	eV/atom
energy above the most stable polymorph in this dataset	4.1	kJ per mole of atoms



Density functional theory data (PBE) for crystalline LaCrMo2 at its relaxed geometry.

Cell and atoms, written as extended XYZ:
```
4
Lattice="4.7017 -1.6145 0.0000 4.7017 1.6145 0.0000 -1.8214 0.0000 5.4495" Properties=species:S:1:pos:R:3 pbc="T T T"
La 0.0000 0.0000 0.0000
Cr 0.9858 0.0000 3.4647
Mo 3.9241 0.0000 2.8322
Mo 6.7541 0.0000 2.0044
```

## Properties
E	-8.4791	eV/atom
energy above the most stable polymorph in this dataset	15.5	kJ per mole of atoms



Density functional theory data (PBE) for crystalline CaAlIn2 at its relaxed geometry.

Cell and atoms, written as extended XYZ:
```
4
Lattice="5.0912 -1.7850 0.0000 5.0912 1.7850 0.0000 -1.1858 0.0000 5.6715" Properties=species:S:1:pos:R:3 pbc="T T T"
Ca 0.0000 0.0000 0.0000
Al 7.3472 0.0000 1.5692
In 1.5882 0.0000 4.1121
In 4.4241 0.0000 2.7313
```

## Properties
E	-2.9145	eV/atom